Entry 1:
GGA-PBE BaCr3, relaxed; magnetic moment = 4.8 μB per formula unit; energy of formation from the pure elements = 0.94 eV/atom; E_tot = -6.7573 eV per atom
1.0
-2.0503 2.0503 12.1162
2.0503 -2.0503 12.1162
2.0503 2.0503 -12.1162
Ba Cr
2 6
Cartesian
0.0000 0.0000 2.9622 Ba
0.0000 0.0000 21.2702 Ba
2.0503 0.0000 0.0000 Cr
2.0503 0.0000 6.0581 Cr
0.0000 0.0000 7.3000 Cr
0.0000 2.0503 0.0000 Cr
0.0000 0.0000 16.9324 Cr
0.0000 2.0503 6.0581 Cr


Entry 2:
GGA-PBE NaCa12Ag6, relaxed; magnetic moment = 0.0 μB per formula unit; energy of formation from the pure elements = -0.18 eV/atom; E_tot = -2.4128 eV per atom
1.0
-5.3774 5.3774 5.3774
5.3774 -5.3774 5.3774
5.3774 5.3774 -5.3774
Na Ca Ag
1 12 6
Cartesian
0.0000 0.0000 0.0000 Na
5.3774 -2.1578 3.3989 Ca
3.2196 1.9785 0.0000 Ca
7.5352 1.9785 0.0000 Ca
3.3989 5.3774 -2.1578 Ca
1.9785 0.0000 3.2196 Ca
0.0000 3.2196 1.9785 Ca
5.3774 2.1578 3.3989 Ca
3.3989 5.3774 2.1578 Ca
1.9785 0.0000 7.5352 Ca
-2.1578 3.3989 5.3774 Ca
2.1578 3.3989 5.3774 Ca
0.0000 7.5352 1.9785 Ca
5.3774 0.0000 1.3807 Ag
5.3774 3.9967 0.0000 Ag
1.3807 5.3774 0.0000 Ag
3.9967 0.0000 5.3774 Ag
0.0000 1.3807 5.3774 Ag
0.0000 5.3774 3.9967 Ag


Entry 3:
GGA-PBE Ho2TmIn2Hg2, relaxed; magnetic moment = 0.0 μB per formula unit; energy of formation from the pure elements = -0.23 eV/atom; E_tot = -3.0451 eV per atom
1.0
2.4689 1.4254 8.7271
-2.4689 1.4254 8.7271
0.0000 -2.8508 8.7271
Ho Tm In Hg
2 1 2 2
Cartesian
0.0000 0.0000 3.4192 Ho
0.0000 0.0000 22.7622 Ho
0.0000 0.0000 0.0000 Tm
0.0000 0.0000 7.0765 In
0.0000 0.0000 19.1049 In
0.0000 0.0000 11.1788 Hg
0.0000 0.0000 15.0027 Hg


Entry 4:
GGA-PBE FeCo2AsN, relaxed; magnetic moment = 3.9 μB per formula unit; formation energy from raw total energies = 0.04 eV per atom; E_tot = -7.0912 eV per atom
1.0
3.7790 0.0000 0.0000
0.0000 3.7790 0.0000
0.0000 0.0000 3.8842
Fe Co As N
1 2 1 1
Cartesian
0.0000 0.0000 0.0000 Fe
0.0000 1.8895 1.9421 Co
1.8895 0.0000 1.9421 Co
1.8895 1.8895 0.0000 As
0.0000 0.0000 1.9421 N


Entry 5:
GGA-PBE Mn2CdSi, relaxed; magnetic moment = 5.9 μB per formula unit; formation energy from raw total energies = 0.24 eV per atom; E_tot = -5.9265 eV per atom
1.0
4.7710 -1.4600 0.0000
4.7710 1.4600 0.0000
-1.4557 0.0000 4.3303
Mn Cd Si
2 1 1
Cartesian
0.0000 0.0000 0.0000 Mn
1.2777 0.0000 3.1116 Mn
6.9811 0.0000 1.0217 Cd
4.1861 0.0000 2.4519 Si


Entry 6:
GGA-PBE CeSnTe3, relaxed; magnetic moment = 0.3 μB per formula unit; formation energy from raw total energies = -0.78 eV per atom; E_tot = -4.6522 eV per atom
1.0
8.7540 0.0000 0.0000
0.0000 4.3116 0.0000
0.0000 0.0000 16.9517
Ce Sn Te
4 4 12
Cartesian
1.1797 1.0779 3.4373 Ce
3.1973 3.2337 11.9131 Ce
5.5568 1.0779 5.0385 Ce
7.5743 3.2337 13.5144 Ce
1.7082 3.2337 7.6677 Sn
2.6688 1.0779 16.1435 Sn
6.0852 3.2337 0.8081 Sn
7.0458 1.0779 9.2839 Sn
0.0800 3.2337 10.4991 Te
1.1712 3.2337 1.1331 Te
1.3261 1.0779 13.3346 Te
3.0509 3.2337 4.8587 Te
3.2058 1.0779 9.6090 Te
4.2970 1.0779 2.0233 Te
4.4570 3.2337 14.9284 Te
5.5482 3.2337 7.3427 Te
5.7031 1.0779 12.0929 Te
7.4279 3.2337 3.6171 Te
7.5828 1.0779 15.8185 Te
8.6740 1.0779 6.4525 Te


Entry 7:
GGA-PBE Ce2AlGa, relaxed; magnetic moment = 0.0 μB per formula unit; energy of formation from the pure elements = -0.40 eV/atom; E_tot = -5.0554 eV per atom
1.0
4.5359 0.0000 0.0000
0.0000 4.5359 0.0000
0.0000 0.0000 4.4236
Ce Al Ga
2 1 1
Cartesian
0.0000 2.2680 0.0000 Ce
2.2680 0.0000 0.0000 Ce
0.0000 0.0000 2.2118 Al
2.2680 2.2680 2.2118 Ga


Entry 8:
GGA-PBE NaCaH2, relaxed; magnetic moment = 1.0 μB per formula unit; E_tot = -2.6389 eV per atom
1.0
-2.6842 2.6842 5.4584
2.6842 -2.6842 5.4584
2.6842 2.6842 -5.4584
Na Ca H
2 2 4
Cartesian
0.0000 0.0000 0.0000 Na
0.0000 2.6842 2.7292 Na
2.6842 0.0000 2.7292 Ca
0.0000 0.0000 5.4584 Ca
1.3421 -1.1022 4.0938 H
1.5820 1.3421 1.3646 H
1.3421 3.7865 -1.3646 H
1.1022 1.3421 6.8230 H


Entry 9:
GGA-PBE CsLiIrCl6, relaxed; magnetic moment = 1.1 μB per formula unit; formation energy from raw total energies = -1.10 eV per atom; E_tot = -3.6254 eV per atom
1.0
6.4714 0.0000 0.0000
-3.2357 5.6044 0.0000
0.0000 0.0000 7.8190
Cs Li Ir Cl
1 1 1 6
Cartesian
0.0000 0.0000 0.0000 Cs
0.0000 3.7363 3.9095 Li
3.2357 1.8681 3.9095 Ir
2.3692 0.1560 5.2581 Cl
1.3197 1.9738 2.5609 Cl
4.1022 0.1560 2.5609 Cl
2.1862 3.4746 5.2581 Cl
5.1517 1.9738 5.2581 Cl
4.2852 3.4746 2.5609 Cl


Entry 10:
GGA-PBE Co2CuCl, relaxed; magnetic moment = 3.9 μB per formula unit; formation energy from raw total energies = 0.54 eV per atom; E_tot = -4.4950 eV per atom
1.0
1.4330 -2.3987 0.0000
1.4330 2.3987 0.0000
0.0000 0.0000 7.8950
Co Cu Cl
2 1 1
Cartesian
0.0000 0.0000 1.9379 Co
0.0000 0.0000 5.9571 Co
1.4330 0.0000 3.9475 Cu
1.4330 0.0000 0.0000 Cl


Entry 11:
GGA-PBE Cd2CoBr, relaxed; magnetic moment = 0.3 μB per formula unit; formation energy from raw total energies = 0.20 eV per atom; E_tot = -2.4552 eV per atom
1.0
3.2586 0.0000 0.0000
0.0000 3.2586 0.0000
0.0000 0.0000 7.5922
Cd Co Br
2 1 1
Cartesian
0.0000 0.0000 1.5422 Cd
0.0000 0.0000 6.0500 Cd
1.6293 1.6293 0.0000 Co
1.6293 1.6293 3.7961 Br


Entry 12:
GGA-PBE Tb2Dy2Y5, relaxed; magnetic moment = 0.0 μB per formula unit; energy of formation from the pure elements = 0.06 eV/atom; E_tot = -5.5820 eV per atom
1.0
3.5519 0.0000 0.0000
0.1584 8.6278 0.0000
0.3056 2.2266 9.4898
Tb Dy Y
2 2 5
Cartesian
0.9223 3.3600 2.6808 Tb
3.0937 7.4944 6.8089 Tb
1.2886 10.3295 8.0543 Dy
2.7274 0.5249 1.4354 Dy
0.9930 6.6871 3.6940 Y
1.2791 5.1434 8.7683 Y
1.9288 1.1133 4.7449 Y
2.7368 5.7110 0.7214 Y
3.0229 4.1673 5.7957 Y